Compound: CuNi
Source: Alexandria
Functional: PBE
Structure: relaxed

## Properties
The space-group type is C2/m. The volume is 45.3 Å³/cell. As for the formation energy: 0.07 eV per formula unit.

```
CuNi
1.0
4.632 -1.250 0.000
4.632 1.250 0.000
-1.991 0.000 3.913
Cu Ni
2 2
direct
0.123 0.123 0.458
0.877 0.877 0.542
0.372 0.372 0.036
0.628 0.628 0.964
```